Entry 1:
BaNa2Zn: relaxed, PBE.

Geometry as extended XYZ:
```
8
Lattice="3.263 -7.853 0.000 3.263 7.853 0.000 -2.962 0.000 5.712" Properties=species:S:1:pos:R:3 pbc="T T T"
Ba 1.041 5.276 4.284
Ba 2.522 -5.276 1.428
Na -0.582 1.346 5.163
Na 0.899 -1.346 2.307
Na 2.665 1.346 3.405
Na 4.146 -1.346 0.549
Zn 2.522 3.898 1.428
Zn 1.041 -3.898 4.284
```

E_tot (eV per atom): -1.490
Theoretical density (g/cm³): 2.82
Total magnetic moment (μB per formula unit): 0.000
Fermi-level density of states (states/eV/cell): 6.03
Energy of formation from the pure elements (eV per atom): -0.031

Entry 2:
Ba2NaZn2: relaxed, PBE.

Geometry as extended XYZ:
```
10
Lattice="9.689 0.000 0.000 0.000 9.689 0.000 0.000 0.000 3.965" Properties=species:S:1:pos:R:3 pbc="T T T"
Ba 1.413 3.431 0.000
Ba 3.431 8.276 0.000
Ba 6.258 1.413 0.000
Ba 8.276 6.258 0.000
Na 0.000 0.000 0.000
Na 4.845 4.845 0.000
Zn 1.396 6.241 1.983
Zn 3.449 1.396 1.983
Zn 6.241 8.294 1.983
Zn 8.294 3.449 1.983
```

E_tot (eV per atom): -1.533
Theoretical density (g/cm³): 3.82
Total magnetic moment (μB per formula unit): 0.000
E above lowest polymorph (meV/atom): 150
Fermi-level density of states (states/eV/cell): 8.07
Energy of formation from the pure elements (eV per atom): 0.010

Entry 3:
BaNa2Zn: relaxed, PBE.

Geometry as extended XYZ:
```
4
Lattice="4.146 0.000 0.000 0.000 4.146 0.000 0.000 0.000 8.410" Properties=species:S:1:pos:R:3 pbc="T T T"
Ba 0.000 0.000 0.000
Na 2.073 2.073 2.662
Na 2.073 2.073 5.748
Zn 0.000 0.000 4.205
```

E_tot (eV per atom): -1.365
Theoretical density (g/cm³): 2.86
Total magnetic moment (μB per formula unit): 0.000
Fermi-level density of states (states/eV/cell): 2.73
Energy of formation from the pure elements (eV per atom): 0.093

Entry 4:
BaNa2Zn: relaxed, PBE.

Geometry as extended XYZ:
```
4
Lattice="1.912 1.104 12.133 -1.912 1.104 12.133 0.000 -2.208 12.133" Properties=species:S:1:pos:R:3 pbc="T T T"
Ba 0.000 0.000 0.000
Na 0.000 0.000 3.747
Na 0.000 0.000 32.653
Zn 0.000 0.000 18.200
```

E_tot (eV per atom): -1.205
Theoretical density (g/cm³): 2.69
Total magnetic moment (μB per formula unit): 0.000
Fermi-level density of states (states/eV/cell): 3.61
Energy of formation from the pure elements (eV per atom): 0.254

Entry 5:
BaNaZn10: relaxed, PBE.

Geometry as extended XYZ:
```
12
Lattice="4.209 0.000 0.000 0.000 5.702 0.000 0.000 0.000 9.706" Properties=species:S:1:pos:R:3 pbc="T T T"
Ba 0.000 0.000 0.000
Na 0.000 2.851 4.853
Zn 0.000 0.000 3.384
Zn 0.000 0.000 6.322
Zn 0.000 2.851 1.806
Zn 0.000 2.851 7.900
Zn 2.104 0.000 4.853
Zn 2.104 1.453 2.513
Zn 2.104 1.453 7.193
Zn 2.104 2.851 0.000
Zn 2.104 4.249 2.513
Zn 2.104 4.249 7.193
```

E_tot (eV per atom): -1.414
Theoretical density (g/cm³): 5.81
Total magnetic moment (μB per formula unit): 0.000
Fermi-level density of states (states/eV/cell): 6.29
Energy of formation from the pure elements (eV per atom): -0.082

Entry 6:
BaNa2Zn: relaxed, PBE.

Geometry as extended XYZ:
```
4
Lattice="2.728 1.575 5.581 -2.728 1.575 5.581 0.000 -3.150 5.581" Properties=species:S:1:pos:R:3 pbc="T T T"
Ba 0.000 0.000 0.000
Na 0.000 0.000 3.605
Na 0.000 0.000 8.077
Zn 0.000 0.000 13.119
```

E_tot (eV per atom): -1.441
Theoretical density (g/cm³): 2.87
Total magnetic moment (μB per formula unit): 0.000
Fermi-level density of states (states/eV/cell): 2.84
Energy of formation from the pure elements (eV per atom): 0.018

Entry 7:
Ba12Na6Zn: relaxed, PBE.

Geometry as extended XYZ:
```
19
Lattice="7.003 4.043 5.870 -7.003 4.043 5.870 0.000 -8.086 5.870" Properties=species:S:1:pos:R:3 pbc="T T T"
Ba -6.305 1.528 7.548
Ba -4.476 -4.696 10.061
Ba -2.323 -0.406 5.809
Ba 1.829 -6.224 7.548
Ba 1.513 -1.809 5.809
Ba 0.810 2.215 5.809
Ba -0.810 -2.215 11.800
Ba -1.513 1.809 11.800
Ba -1.829 6.224 10.061
Ba 2.323 0.406 11.800
Ba 4.476 4.696 7.548
Ba 6.305 -1.528 10.061
Na -1.147 -3.582 8.109
Na -3.676 -0.798 9.500
Na -2.529 2.784 8.109
Na 2.529 -2.784 9.500
Na 3.676 0.798 8.109
Na 1.147 3.582 9.500
Zn 0.000 0.000 8.805
```

E_tot (eV per atom): -1.639
Theoretical density (g/cm³): 3.08
Total magnetic moment (μB per formula unit): 0.000
Fermi-level density of states (states/eV/cell): 21.27
Energy of formation from the pure elements (eV per atom): 0.059

Entry 8:
BaNaZr2: relaxed, PBE.

Geometry as extended XYZ:
```
4
Lattice="0.000 3.879 3.879 3.879 0.000 3.879 3.879 3.879 0.000" Properties=species:S:1:pos:R:3 pbc="T T T"
Ba 0.000 0.000 0.000
Na 3.879 3.879 3.879
Zr 1.940 1.940 1.940
Zr 5.819 5.819 5.819
```

E_tot (eV per atom): -4.056
Theoretical density (g/cm³): 4.87
Total magnetic moment (μB per formula unit): 0.834
E above lowest polymorph (meV/atom): 213
Fermi-level density of states (states/eV/cell): 6.72
Energy of formation from the pure elements (eV per atom): 1.029

Entry 9:
BaNaZr2: relaxed, PBE.

Geometry as extended XYZ:
```
8
Lattice="-2.193 2.193 12.446 2.193 -2.193 12.446 2.193 2.193 -12.446" Properties=species:S:1:pos:R:3 pbc="T T T"
Ba 0.000 0.000 0.000
Ba 0.000 2.193 6.223
Na 2.193 0.000 6.223
Na 0.000 0.000 12.446
Zr 1.096 -1.046 9.334
Zr 1.147 1.096 3.111
Zr 1.096 3.239 -3.111
Zr 1.046 1.096 15.557
```

E_tot (eV per atom): -4.269
Theoretical density (g/cm³): 4.75
Total magnetic moment (μB per formula unit): 0.001
E above lowest polymorph (meV/atom): 0
Fermi-level density of states (states/eV/cell): 13.59
Energy of formation from the pure elements (eV per atom): 0.816

Entry 10:
BaNa2Zr: relaxed, PBE.

Geometry as extended XYZ:
```
8
Lattice="-4.701 4.701 3.423 4.701 -4.701 3.423 4.701 4.701 -3.423" Properties=species:S:1:pos:R:3 pbc="T T T"
Ba 0.000 0.000 0.000
Ba 0.000 4.701 1.712
Na 2.351 -2.137 2.568
Na 2.564 2.351 0.856
Na 2.351 6.839 -0.856
Na 2.137 2.351 4.279
Zr 4.701 0.000 1.712
Zr 0.000 0.000 3.423
```

E_tot (eV per atom): -2.462
Theoretical density (g/cm³): 3.01
Total magnetic moment (μB per formula unit): 2.928
E above lowest polymorph (meV/atom): 153
Fermi-level density of states (states/eV/cell): 11.41
Energy of formation from the pure elements (eV per atom): 0.815

Entry 11:
BaNa2Zr: relaxed, PBE.

Geometry as extended XYZ:
```
4
Lattice="0.000 4.168 4.168 4.168 0.000 4.168 4.168 4.168 0.000" Properties=species:S:1:pos:R:3 pbc="T T T"
Ba 0.000 0.000 0.000
Na 2.084 2.084 2.084
Na 6.251 6.251 6.251
Zr 4.168 4.168 4.168
```

E_tot (eV per atom): -2.616
Theoretical density (g/cm³): 3.15
Total magnetic moment (μB per formula unit): 2.852
E above lowest polymorph (meV/atom): 0
Fermi-level density of states (states/eV/cell): 3.03
Energy of formation from the pure elements (eV per atom): 0.661

Entry 12:
Ba4NdNb3O12: relaxed, PBE.

Geometry as extended XYZ:
```
20
Lattice="-4.260 4.260 4.260 4.260 -4.260 4.260 4.260 4.260 -4.260" Properties=species:S:1:pos:R:3 pbc="T T T"
Ba 2.130 2.130 -2.130
Ba 2.130 -2.130 2.130
Ba -2.130 2.130 2.130
Ba 2.130 2.130 2.130
Nd 0.000 0.000 0.000
Nb 4.260 0.000 0.000
Nb 0.000 4.260 0.000
Nb 0.000 0.000 4.260
O 2.282 0.000 0.000
O 6.237 0.000 0.000
O 4.260 2.130 0.000
O 4.260 0.000 2.130
O 0.000 2.282 0.000
O 0.000 0.000 2.282
O 2.130 4.260 0.000
O 2.130 0.000 4.260
O 0.000 6.237 0.000
O 0.000 0.000 6.237
O 0.000 4.260 2.130
O 0.000 2.130 4.260
```

E_tot (eV per atom): -7.919
Theoretical density (g/cm³): 6.25
Total magnetic moment (μB per formula unit): 0.001
Fermi-level density of states (states/eV/cell): 6.95

Entry 13:
Ba3NdNb2O9: relaxed, PBE.

Geometry as extended XYZ:
```
15
Lattice="6.045 0.000 0.000 -3.023 5.235 0.000 0.000 0.000 7.503" Properties=species:S:1:pos:R:3 pbc="T T T"
Ba 0.000 0.000 0.000
Ba 0.000 3.490 5.118
Ba 3.023 1.745 2.385
Nd 0.000 0.000 3.751
Nb 0.000 3.490 1.210
Nb 3.023 1.745 6.292
O -1.511 2.618 0.000
O 0.000 1.850 2.340
O -1.420 4.310 2.340
O 1.602 0.925 5.163
O 3.023 0.000 0.000
O 1.511 2.618 0.000
O 1.420 4.310 2.340
O 4.443 0.925 5.163
O 3.023 3.385 5.163
```

E_tot (eV per atom): -7.891
Theoretical density (g/cm³): 6.20
Total magnetic moment (μB per formula unit): 0.000
Fermi-level density of states (states/eV/cell): 3.85

Entry 14:
BaNdNb4O12: relaxed, PBE.

Geometry as extended XYZ:
```
18
Lattice="4.015 -4.031 0.000 4.015 4.031 0.000 0.000 0.000 8.045" Properties=species:S:1:pos:R:3 pbc="T T T"
Ba 0.000 0.000 0.000
Nd 4.015 0.000 4.023
Nb 2.007 2.015 2.027
Nb 2.007 2.015 6.018
Nb 2.007 -2.015 2.027
Nb 2.007 -2.015 6.018
O 2.007 2.015 0.000
O 2.007 2.015 4.023
O 4.015 2.119 2.089
O 4.015 2.119 5.957
O 2.213 0.000 2.123
O 2.213 0.000 5.923
O 2.007 -2.015 0.000
O 2.007 -2.015 4.023
O 5.816 0.000 2.123
O 5.816 0.000 5.923
O 4.015 -2.119 2.089
O 4.015 -2.119 5.957
```

E_tot (eV per atom): -8.633
Theoretical density (g/cm³): 5.39
Total magnetic moment (μB per formula unit): 0.000
Fermi-level density of states (states/eV/cell): 2.08

Entry 15:
BaSrNdNbO6: relaxed, PBE.

Geometry as extended XYZ:
```
20
Lattice="6.047 0.000 0.000 0.020 6.099 0.000 0.071 0.054 8.578" Properties=species:S:1:pos:R:3 pbc="T T T"
Ba 0.056 0.177 2.143
Ba 6.082 5.977 6.435
Sr 2.996 3.272 2.135
Sr 3.142 2.881 6.443
Nd 0.010 3.050 0.000
Nd 3.059 0.027 4.289
Nb 0.045 3.077 4.289
Nb 3.023 0.000 0.000
O 0.592 3.098 6.260
O 1.255 4.675 3.969
O 1.428 4.904 0.248
O 1.632 1.870 3.858
O 1.893 1.659 0.426
O 2.678 0.302 6.604
O 3.460 5.851 1.974
O 4.245 4.495 8.153
O 4.506 4.283 4.721
O 4.710 1.249 8.330
O 4.883 1.479 4.610
O 5.546 3.056 2.318
```

E_tot (eV per atom): -7.776
Theoretical density (g/cm³): 5.86
Total magnetic moment (μB per formula unit): 0.000
E above lowest polymorph (meV/atom): 0
Fermi-level density of states (states/eV/cell): 0.00

Entry 16:
BaSrNdNbO6: relaxed, PBE.

Geometry as extended XYZ:
```
10
Lattice="0.000 4.335 4.335 4.335 0.000 4.335 4.335 4.335 0.000" Properties=species:S:1:pos:R:3 pbc="T T T"
Ba 0.000 0.000 0.000
Sr 4.335 4.335 4.335
Nd 6.502 6.502 6.502
Nb 2.167 2.167 2.167
O 2.167 2.167 0.151
O 2.167 0.151 2.167
O 4.184 2.167 2.167
O 0.151 2.167 2.167
O 2.167 4.184 2.167
O 2.167 2.167 4.184
```

E_tot (eV per atom): -7.721
Theoretical density (g/cm³): 5.69
Total magnetic moment (μB per formula unit): 0.000
E above lowest polymorph (meV/atom): 55
Fermi-level density of states (states/eV/cell): 0.00

Entry 17:
Ba3NbNi: relaxed, PBE.

Geometry as extended XYZ:
```
5
Lattice="5.939 0.000 0.000 0.000 5.939 0.000 0.000 0.000 5.939" Properties=species:S:1:pos:R:3 pbc="T T T"
Ba 0.000 0.000 2.969
Ba 0.000 2.969 0.000
Ba 2.969 0.000 0.000
Nb 2.969 2.969 2.969
Ni 0.000 0.000 0.000
```

E_tot (eV per atom): -3.557
Theoretical density (g/cm³): 4.47
Total magnetic moment (μB per formula unit): 4.447
E above lowest polymorph (meV/atom): 0
Fermi-level density of states (states/eV/cell): 4.46
Energy of formation from the pure elements (eV per atom): 0.767

Entry 18:
Ba2NbNi: relaxed, PBE.

Geometry as extended XYZ:
```
8
Lattice="-5.944 5.944 2.358 5.944 -5.944 2.358 5.944 5.944 -2.358" Properties=species:S:1:pos:R:3 pbc="T T T"
Ba 0.941 2.972 0.590
Ba -2.972 5.003 1.769
Ba -0.941 8.916 0.590
Ba 2.972 6.885 1.769
Nb 5.944 0.000 1.179
Nb 0.000 0.000 2.358
Ni 0.000 0.000 0.000
Ni 0.000 5.944 1.179
```

E_tot (eV per atom): -4.235
Theoretical density (g/cm³): 4.25
Total magnetic moment (μB per formula unit): 2.386
E above lowest polymorph (meV/atom): 0
Fermi-level density of states (states/eV/cell): 9.90
Energy of formation from the pure elements (eV per atom): 0.689

Entry 19:
Ba2NbNi: relaxed, PBE.

Geometry as extended XYZ:
```
4
Lattice="0.000 4.011 4.011 4.011 0.000 4.011 4.011 4.011 0.000" Properties=species:S:1:pos:R:3 pbc="T T T"
Ba 2.006 2.006 2.006
Ba 6.017 6.017 6.017
Nb 0.000 0.000 0.000
Ni 4.011 4.011 4.011
```

E_tot (eV per atom): -3.961
Theoretical density (g/cm³): 5.48
Total magnetic moment (μB per formula unit): 4.875
E above lowest polymorph (meV/atom): 274
Fermi-level density of states (states/eV/cell): 2.07
Energy of formation from the pure elements (eV per atom): 0.963

Entry 20:
BaNbNiP2: relaxed, PBE.

Geometry as extended XYZ:
```
5
Lattice="-1.999 1.999 6.577 1.999 -1.999 6.577 1.999 1.999 -6.577" Properties=species:S:1:pos:R:3 pbc="T T T"
Ba 0.000 0.000 0.000
Nb 0.000 1.999 3.289
Ni 1.999 0.000 3.289
P 0.000 0.000 4.658
P 0.000 0.000 8.496
```

E_tot (eV per atom): -6.559
Theoretical density (g/cm³): 5.54
Total magnetic moment (μB per formula unit): 0.002
Fermi-level density of states (states/eV/cell): 3.95
Energy of formation from the pure elements (eV per atom): -0.840

Entry 21:
RbBaNbNi2: relaxed, PBE.

Geometry as extended XYZ:
```
5
Lattice="5.214 0.000 0.000 0.000 5.214 0.000 0.000 0.000 5.379" Properties=species:S:1:pos:R:3 pbc="T T T"
Rb 0.000 0.000 0.000
Ba 2.607 2.607 2.690
Nb 0.000 0.000 2.690
Ni 0.000 2.607 0.000
Ni 2.607 0.000 0.000
```

E_tot (eV per atom): -2.966
Theoretical density (g/cm³): 4.92
Total magnetic moment (μB per formula unit): 4.086
Fermi-level density of states (states/eV/cell): 6.68
Energy of formation from the pure elements (eV per atom): 1.939

Entry 22:
Ba2NbReNi: relaxed, PBE.

Geometry as extended XYZ:
```
5
Lattice="5.857 0.000 0.000 0.000 5.857 0.000 0.000 0.000 4.724" Properties=species:S:1:pos:R:3 pbc="T T T"
Ba 0.000 2.929 0.000
Ba 2.929 0.000 0.000
Nb 0.000 0.000 2.362
Re 2.929 2.929 2.362
Ni 0.000 0.000 0.000
```

E_tot (eV per atom): -4.903
Theoretical density (g/cm³): 6.28
Total magnetic moment (μB per formula unit): 3.313
Fermi-level density of states (states/eV/cell): 7.81
Energy of formation from the pure elements (eV per atom): 1.526

Entry 23:
BaNbNiRh2: relaxed, PBE.

Geometry as extended XYZ:
```
5
Lattice="4.884 0.000 0.000 0.000 4.884 0.000 0.000 0.000 4.506" Properties=species:S:1:pos:R:3 pbc="T T T"
Ba 0.000 0.000 0.000
Nb 2.442 2.442 0.000
Ni 2.442 2.442 2.253
Rh 0.000 2.442 2.253
Rh 2.442 0.000 2.253
```

E_tot (eV per atom): -5.895
Theoretical density (g/cm³): 7.65
Total magnetic moment (μB per formula unit): 2.232
Fermi-level density of states (states/eV/cell): 7.24
Energy of formation from the pure elements (eV per atom): 0.600

Entry 24:
BaTaNbNi2: relaxed, PBE.

Geometry as extended XYZ:
```
5
Lattice="4.924 0.000 0.000 0.000 4.924 0.000 0.000 0.000 4.900" Properties=species:S:1:pos:R:3 pbc="T T T"
Ba 0.000 0.000 0.000
Ta 2.462 2.462 0.000
Nb 2.462 2.462 2.450
Ni 0.000 2.462 2.450
Ni 2.462 0.000 2.450
```

E_tot (eV per atom): -6.128
Theoretical density (g/cm³): 7.39
Total magnetic moment (μB per formula unit): 0.801
Fermi-level density of states (states/eV/cell): 6.38
Energy of formation from the pure elements (eV per atom): 0.954